Here is a geometry-optimized HgSb2S2 structure from Alexandria. Energies are from PBEsol.

Lattice parameters (Å, degrees): 8.230 8.230 3.643 90.00 90.00 90.00
Fractional coordinates of all 10 atoms:
1 Hg 0.000 0.000 0.000
2 Hg 0.500 0.500 0.000
3 Sb 0.206 0.294 0.000
4 Sb 0.294 0.794 0.000
5 Sb 0.706 0.206 0.000
6 Sb 0.794 0.706 0.000
7 S 0.143 0.643 0.500
8 S 0.357 0.143 0.500
9 S 0.643 0.857 0.500
10 S 0.857 0.357 0.500

Calculated values
symmetry: P4/mbm, No. 127
M_tot: 0.000 μB per cell
raw formation energy: -48 meV per atom